# 1
A geometry-optimized LaErScTe3 structure. Source: Alexandria via LeMat-Bulk, functional GGA-PBE.

Results
Raw total energy, eV/atom: -5.459
Density of states at the Fermi level, states/eV per atom: 0.57
Space-group type: No. 11
Energy relative to the elements, uncorrected, meV/atom: -1251

abc: 8.8508 4.3444 9.9446
angles: 90.00 105.92 90.00
With the nearest neighbours (Å) after each atom.
Element x y z (fractional)
La 0.1851 0.2500 0.2353  7 Te 3.28-3.35
La 0.8149 0.7500 0.7647  7 Te 3.28-3.35
Er 0.3271 0.7500 0.8392  6 Te 3.05-3.24
Er 0.6729 0.2500 0.1608  6 Te 3.05-3.24
Sc 0.0917 0.2500 0.5945  4 Te 2.87-3.00, 2 Sc 3.03
Sc 0.9083 0.7500 0.4055  4 Te 2.87-3.00, 2 Sc 3.03
Te 0.0977 0.2500 0.8850  1 Sc 2.87, 2 Er 3.09
Te 0.2610 0.7500 0.5024  3 Sc 2.93-3.00, 1 Er 3.24
Te 0.4316 0.7500 0.1643  3 Er 3.05-3.11, 2 La 3.29
Te 0.5684 0.2500 0.8357  3 Er 3.05-3.11, 2 La 3.29
Te 0.7390 0.2500 0.4976  3 Sc 2.93-3.00, 1 Er 3.24
Te 0.9023 0.7500 0.1150  1 Sc 2.87, 2 Er 3.09


# 2
A geometry-optimized La3Er2ScTe6 structure. Source: Alexandria via LeMat-Bulk, functional GGA-PBE.

Results
Raw total energy, eV/atom: -5.478
Density of states at the Fermi level, states/eV per atom: 0.60
Space-group type: No. 12
Energy relative to the elements, uncorrected, meV/atom: -1387

abc: 9.9526 9.9526 8.9586
angles: 104.65 104.65 25.40
With the nearest neighbours (Å) after each atom.
Element x y z (fractional)
La 0.0000 0.0000 0.0000  6 Te 3.22-3.27
La 0.3309 0.3309 0.6648  6 Te 3.22-3.25
La 0.6691 0.6691 0.3352  6 Te 3.22-3.25
Er 0.3341 0.3341 0.1683  6 Te 3.04-3.06
Er 0.6659 0.6659 0.8317  6 Te 3.04-3.06
Sc 0.0000 0.0000 0.5000  6 Te 2.97-3.00
Te 0.1582 0.1582 0.5918  1 Sc 2.97, 2 Er 3.04, 3 La 3.22-3.25
Te 0.1713 0.1713 0.0719  3 Er 3.05-3.06, 3 La 3.22-3.23
Te 0.4971 0.4971 0.2692  2 Sc 3.00, 1 Er 3.06, 3 La 3.24-3.27
Te 0.5029 0.5029 0.7308  2 Sc 3.00, 1 Er 3.06, 3 La 3.24-3.27
Te 0.8287 0.8287 0.9281  3 Er 3.05-3.06, 3 La 3.22-3.23
Te 0.8418 0.8418 0.4082  1 Sc 2.97, 2 Er 3.04, 3 La 3.22-3.25


# 3
A geometry-optimized La2ErScTe4 structure. Source: Alexandria via LeMat-Bulk, functional GGA-PBE.

Results
Raw total energy, eV/atom: -5.538
Density of states at the Fermi level, states/eV per atom: 0.66
Space-group type: No. 10
Energy relative to the elements, uncorrected, meV/atom: -1373

abc: 7.5571 4.3402 7.8180
angles: 90.00 108.63 90.00
With the nearest neighbours (Å) after each atom.
Element x y z (fractional)
La 0.0000 0.0000 0.0000  6 Te 3.26
La 0.5000 0.5000 0.0000  6 Te 3.21
Er 0.0000 0.5000 0.5000  6 Te 3.04
Sc 0.5000 0.0000 0.5000  6 Te 2.99
Te 0.2475 0.0000 0.7263  1 Sc 2.99, 2 Er 3.04, 3 La 3.21-3.26
Te 0.2647 0.5000 0.2774  2 Sc 2.99, 1 Er 3.04, 3 La 3.21-3.26
Te 0.7353 0.5000 0.7226  2 Sc 2.99, 1 Er 3.04, 3 La 3.21-3.26
Te 0.7525 0.0000 0.2737  1 Sc 2.99, 2 Er 3.04, 3 La 3.21-3.26


# 4
A geometry-optimized La3Er3ScTe8 structure. Source: Alexandria via LeMat-Bulk, functional GGA-PBE.

Results
Raw total energy, eV/atom: -5.415
Density of states at the Fermi level, states/eV per atom: 0.56
Space-group type: No. 166
Energy relative to the elements, uncorrected, meV/atom: -1419

abc: 8.9092 8.9092 8.9092
angles: 59.04 59.04 59.04
With the nearest neighbours (Å) after each atom.
Element x y z (fractional)
La 0.0000 0.5000 0.5000  6 Te 3.21
La 0.5000 0.0000 0.5000  6 Te 3.21
La 0.5000 0.5000 0.0000  6 Te 3.21
Er 0.0000 0.0000 0.5000  6 Te 3.05
Er 0.0000 0.5000 0.0000  6 Te 3.05
Er 0.5000 0.0000 0.0000  6 Te 3.05
Sc 0.5000 0.5000 0.5000  6 Te 3.05
Te 0.2434 0.7435 0.7435  2 Er 3.05, 1 Sc 3.05, 2 La 3.21
Te 0.2437 0.2437 0.2437  3 Er 3.05, 3 La 3.21
Te 0.2565 0.2565 0.7566  2 Er 3.05, 1 Sc 3.05, 2 La 3.21
Te 0.2565 0.7566 0.2565  2 Er 3.05, 1 Sc 3.05, 2 La 3.21
Te 0.7435 0.2434 0.7435  2 Er 3.05, 1 Sc 3.05, 2 La 3.21
Te 0.7435 0.7435 0.2434  2 Er 3.05, 1 Sc 3.05, 2 La 3.21
Te 0.7563 0.7563 0.7563  3 Er 3.05, 3 La 3.21
Te 0.7566 0.2565 0.2565  2 Er 3.05, 1 Sc 3.05, 2 La 3.21


# 5
A geometry-optimized LaEr2ThSc structure. Source: Alexandria via LeMat-Bulk, functional GGA-PBE.

Results
Raw total energy, eV/atom: -5.501
Energy of formation from the pure elements, eV per atom: 0.060
Density of states at the Fermi level, states/eV per atom: 1.59
Space-group type: No. 11

abc: 7.8222 5.0278 7.8573
angles: 90.00 90.72 90.00
With the nearest neighbours (Å) after each atom.
Element x y z (fractional)
La 0.2484 0.2500 0.2461  6 Er 3.51-3.54, 3 Sc 3.52-3.54, 3 Th 3.54-3.55
La 0.7516 0.7500 0.7539  6 Er 3.51-3.54, 3 Sc 3.52-3.54, 3 Th 3.54-3.55
Er 0.1598 0.7500 0.9454  3 Sc 3.46-3.47, 3 Er 3.46-3.65, 3 La 3.51, 3 Th 3.51-3.61
Er 0.3458 0.7500 0.5488  3 Er 3.46-3.57, 3 Th 3.48-3.50, 3 Sc 3.52, 3 La 3.54
Er 0.6542 0.2500 0.4512  3 Er 3.46-3.57, 3 Th 3.48-3.50, 3 Sc 3.52, 3 La 3.54
Er 0.8402 0.2500 0.0546  3 Sc 3.46-3.47, 3 Er 3.46-3.65, 3 La 3.51, 3 Th 3.51-3.61
Th 0.0537 0.2500 0.6501  1 Sc 3.43, 6 Er 3.48-3.61, 3 La 3.54-3.55, 2 Th 3.54
Th 0.9463 0.7500 0.3499  1 Sc 3.43, 6 Er 3.48-3.61, 3 La 3.54-3.55, 2 Th 3.54
Sc 0.4482 0.2500 0.8470  1 Th 3.43, 6 Er 3.46-3.52, 3 La 3.52-3.54, 2 Sc 3.57
Sc 0.5518 0.7500 0.1530  1 Th 3.43, 6 Er 3.46-3.52, 3 La 3.52-3.54, 2 Sc 3.57


# 6
A geometry-optimized LaErThSc structure. Source: Alexandria via LeMat-Bulk, functional GGA-PBE.

Results
Raw total energy, eV/atom: -5.721
Energy of formation from the pure elements, eV per atom: 0.089
Density of states at the Fermi level, states/eV per atom: 1.29
Space-group type: No. 216
Energy above the most stable polymorph in this dataset, eV per atom: 0.070

abc: 5.5948 5.5948 5.5948
angles: 60.00 60.00 60.00
With the nearest neighbours (Å) after each atom.
Element x y z (fractional)
La 0.0000 0.0000 0.0000  4 Er 3.43, 4 Sc 3.43
Er 0.7500 0.7500 0.7500  4 La 3.43, 4 Th 3.43
Th 0.5000 0.5000 0.5000  4 Er 3.43, 4 Sc 3.43
Sc 0.2500 0.2500 0.2500  4 La 3.43, 4 Th 3.43


# 7
A geometry-optimized LaErThSc structure. Source: Alexandria via LeMat-Bulk, functional GGA-PBE.

Results
Raw total energy, eV/atom: -5.791
Energy of formation from the pure elements, eV per atom: 0.019
Density of states at the Fermi level, states/eV per atom: 0.91
Space-group type: No. 99
Energy above the most stable polymorph in this dataset, eV per atom: 0.000

abc: 3.5843 3.5843 9.6361
angles: 90.00 90.00 90.00
With the nearest neighbours (Å) after each atom.
Element x y z (fractional)
La 0.0000 0.0000 0.0000  4 Sc 3.50, 4 La 3.58, 4 Er 3.65
Er 0.5000 0.5000 0.7273  4 Th 3.48, 4 Er 3.58, 4 La 3.65
Th 0.0000 0.0000 0.4798  4 Sc 3.36, 4 Er 3.48, 4 Th 3.58
Sc 0.5000 0.5000 0.2503  4 Th 3.36, 4 La 3.50, 4 Sc 3.58


# 8
A geometry-optimized LaEr2ScTl4 structure. Source: Alexandria via LeMat-Bulk, functional GGA-PBE.

Results
Raw total energy, eV/atom: -4.036
Energy of formation from the pure elements, eV per atom: -0.305
Density of states at the Fermi level, states/eV per atom: 0.84
Space-group type: No. 166

abc: 9.3680 9.3680 9.3680
angles: 33.15 33.15 33.15
With the nearest neighbours (Å) after each atom.
Element x y z (fractional)
La 0.0000 0.0000 0.0000  8 Tl 3.32-3.41
Er 0.2481 0.2481 0.2481  8 Tl 3.17-3.49
Er 0.7519 0.7519 0.7519  8 Tl 3.17-3.49
Sc 0.5000 0.5000 0.5000  8 Tl 3.19-3.25
Tl 0.1286 0.1286 0.1286  4 Er 3.17-3.29, 3 Sc 3.25, 1 La 3.41
Tl 0.3797 0.3797 0.3797  1 Sc 3.19, 4 Er 3.25-3.49, 3 La 3.32
Tl 0.6203 0.6203 0.6203  1 Sc 3.19, 4 Er 3.25-3.49, 3 La 3.32
Tl 0.8714 0.8714 0.8714  4 Er 3.17-3.29, 3 Sc 3.25, 1 La 3.41


# 9
A geometry-optimized LaErSc2Tl4 structure. Source: Alexandria via LeMat-Bulk, functional GGA-PBE.

Results
Raw total energy, eV/atom: -4.245
Energy of formation from the pure elements, eV per atom: -0.293
Density of states at the Fermi level, states/eV per atom: 0.89
Space-group type: No. 166

abc: 9.2415 9.2415 9.2415
angles: 33.31 33.31 33.31
With the nearest neighbours (Å) after each atom.
Element x y z (fractional)
La 0.0000 0.0000 0.0000  8 Tl 3.28-3.35
Er 0.5000 0.5000 0.5000  8 Tl 3.18-3.22
Sc 0.2490 0.2490 0.2490  8 Tl 3.17-3.39
Sc 0.7510 0.7510 0.7510  8 Tl 3.17-3.39
Tl 0.1279 0.1279 0.1279  4 Sc 3.17-3.26, 3 Er 3.22, 1 La 3.35
Tl 0.3786 0.3786 0.3786  1 Er 3.18, 4 Sc 3.22-3.39, 3 La 3.28
Tl 0.6214 0.6214 0.6214  1 Er 3.18, 4 Sc 3.22-3.39, 3 La 3.28
Tl 0.8721 0.8721 0.8721  4 Sc 3.17-3.26, 3 Er 3.22, 1 La 3.35


# 10
A geometry-optimized LaErTmSc structure. Source: Alexandria via LeMat-Bulk, functional GGA-PBE.

Results
Raw total energy, eV/atom: -4.978
Energy of formation from the pure elements, eV per atom: 0.096
Density of states at the Fermi level, states/eV per atom: 1.38
Space-group type: No. 216
Energy above the most stable polymorph in this dataset, eV per atom: 0.027

abc: 5.5782 5.5782 5.5782
angles: 60.00 60.00 60.00
With the nearest neighbours (Å) after each atom.
Element x y z (fractional)
La 0.0000 0.0000 0.0000  4 Tm 3.42, 4 Sc 3.42
Er 0.5000 0.5000 0.5000  4 Sc 3.42, 4 Tm 3.42
Tm 0.2500 0.2500 0.2500  4 Er 3.42, 4 La 3.42
Sc 0.7500 0.7500 0.7500  4 La 3.42, 4 Er 3.42


# 11
A geometry-optimized LaEr6Tm2Sc3 structure. Source: Alexandria via LeMat-Bulk, functional GGA-PBE.

Results
Raw total energy, eV/atom: -4.971
Energy of formation from the pure elements, eV per atom: 0.050
Density of states at the Fermi level, states/eV per atom: 1.53
Space-group type: No. 12

abc: 6.0148 6.0148 11.4404
angles: 95.03 95.03 119.99
With the nearest neighbours (Å) after each atom.
Element x y z (fractional)
La 0.0000 0.0000 0.0000  6 Tm 3.47, 6 Er 3.56
Er 0.0870 0.4216 0.2605  3 Sc 3.36, 6 Er 3.47-3.49, 2 Tm 3.55, 1 La 3.56
Er 0.2477 0.2477 0.7393  3 Sc 3.35-3.36, 6 Er 3.47-3.49, 2 Tm 3.55, 1 La 3.56
Er 0.4216 0.0870 0.2605  3 Sc 3.36, 6 Er 3.47-3.49, 2 Tm 3.55, 1 La 3.56
Er 0.5784 0.9130 0.7395  3 Sc 3.36, 6 Er 3.47-3.49, 2 Tm 3.55, 1 La 3.56
Er 0.7523 0.7523 0.2607  3 Sc 3.35-3.36, 6 Er 3.47-3.49, 2 Tm 3.55, 1 La 3.56
Er 0.9130 0.5784 0.7395  3 Sc 3.36, 6 Er 3.47-3.49, 2 Tm 3.55, 1 La 3.56
Tm 0.3334 0.6666 0.0000  3 Tm 3.47, 3 La 3.47, 6 Er 3.55
Tm 0.6666 0.3334 0.0000  3 Tm 3.47, 3 La 3.47, 6 Er 3.55
Sc 0.1669 0.8331 0.5000  6 Er 3.36, 6 Sc 3.47-3.48
Sc 0.5000 0.5000 0.5000  6 Er 3.35-3.36, 6 Sc 3.47
Sc 0.8331 0.1669 0.5000  6 Er 3.36, 6 Sc 3.47-3.48